Record 1
AlVF2 | PBE+U | relaxed

Cell and atoms, written as POSCAR:
```
AlVF2
1.0
0.000 3.039 3.039
3.039 0.000 3.039
3.039 3.039 0.000
Al V F
1 1 2
Direct
0.000 0.000 0.000
0.500 0.500 0.500
0.250 0.250 0.250
0.750 0.750 0.750
```

Polymorph energy (0 for the lowest one)   359 meV/atom
Space-group type   Fm-3m (225)
Calculated total energy   -4.44 eV/atom

Record 2
HfCrAs2O | PBE+U | relaxed

Cell and atoms, written as POSCAR:
```
HfCrAs2O
1.0
5.053 0.000 0.000
0.000 5.053 0.000
0.000 0.000 5.425
Hf Cr As O
1 1 2 1
Direct
0.000 0.000 0.000
0.000 0.000 0.500
0.000 0.500 0.000
0.500 0.000 0.000
0.500 0.500 0.500
```

Space-group type   P4/mmm (123)
Calculated total energy   -4.87 eV/atom